Density functional theory data (GGA-PBE) for a relaxed structure of CeMgCo2.

## Properties
- Calculated formation energy: -0.11 eV per atom
- Space-group type: R-3m
- E: -66.54 eV per cell
- Calculated volume: 224 Å³ per cell

abc: 4.591 4.591 12.270
angles: 90.00 90.00 120.00
Fractional positions:
Ce 0.000 0.000 0.000
Ce 0.333 0.667 0.667
Ce 0.667 0.333 0.333
Mg 0.000 0.000 0.500
Mg 0.333 0.667 0.167
Mg 0.667 0.333 0.833
Co 0.000 0.000 0.181
Co 0.000 0.000 0.819
Co 0.333 0.667 0.486
Co 0.333 0.667 0.847
Co 0.667 0.333 0.153
Co 0.667 0.333 0.514


Density functional theory data (GGA-PBE) for a relaxed structure of CeMgCo2.

## Properties
- Calculated formation energy: -0.05 eV per atom
- Space-group type: P4/mmm
- E: -21.94 eV per cell
- Calculated volume: 64 Å³ per cell

abc: 4.387 4.387 3.344
angles: 90.00 90.00 90.00
Fractional positions:
Ce 0.000 0.000 0.000
Mg 0.500 0.500 0.000
Co 0.000 0.500 0.500
Co 0.500 0.000 0.500


Density functional theory data (GGA-PBE) for a relaxed structure of Ce2MgCo9.

## Properties
- Calculated formation energy: -0.13 eV per atom
- Space-group type: R3m
- E: -79.03 eV per cell
- Calculated volume: 168 Å³ per cell

abc: 8.519 8.519 8.519
angles: 33.56 33.56 33.56
Fractional positions:
Ce 0.000 0.000 0.000
Ce 0.143 0.143 0.143
Mg 0.279 0.279 0.279
Co 0.060 0.554 0.554
Co 0.220 0.725 0.725
Co 0.473 0.473 0.473
Co 0.554 0.060 0.554
Co 0.554 0.554 0.060
Co 0.638 0.638 0.638
Co 0.725 0.220 0.725
Co 0.725 0.725 0.220
Co 0.804 0.804 0.804


Density functional theory data (GGA-PBE) for a relaxed structure of Ce3MgCo.

## Properties
- Calculated formation energy: -0.08 eV per atom
- Space-group type: P2_1/m
- E: -53.82 eV per cell
- Calculated volume: 231 Å³ per cell

abc: 7.946 3.398 8.599
angles: 90.00 95.60 90.00
Fractional positions:
Ce 0.107 0.250 0.161
Ce 0.153 0.750 0.521
Ce 0.346 0.750 0.951
Ce 0.654 0.250 0.049
Ce 0.847 0.250 0.479
Ce 0.893 0.750 0.839
Mg 0.495 0.750 0.334
Mg 0.505 0.250 0.666
Co 0.140 0.250 0.766
Co 0.860 0.750 0.234


Density functional theory data (GGA-PBE) for a relaxed structure of Ce3Mg3Co2.

## Properties
- Calculated formation energy: -0.11 eV per atom
- Space-group type: C2/m
- E: -75.43 eV per cell
- Calculated volume: 363 Å³ per cell

abc: 15.716 4.847 4.792
angles: 90.00 96.30 90.00
Fractional positions:
Ce 0.000 0.000 0.000
Ce 0.172 0.000 0.575
Ce 0.328 0.500 0.425
Ce 0.500 0.500 0.000
Ce 0.672 0.500 0.575
Ce 0.828 0.000 0.425
Mg 0.000 0.500 0.500
Mg 0.138 0.500 0.040
Mg 0.362 0.000 0.960
Mg 0.500 0.000 0.500
Mg 0.638 0.000 0.040
Mg 0.862 0.500 0.960
Co 0.206 0.000 0.139
Co 0.294 0.500 0.861
Co 0.706 0.500 0.139
Co 0.794 0.000 0.861


Density functional theory data (GGA-PBE) for a relaxed structure of Ce3MgCo8.

## Properties
- Calculated formation energy: -0.18 eV per atom
- Space-group type: R3m
- E: -78.46 eV per cell
- Calculated volume: 174 Å³ per cell

abc: 8.642 8.642 8.642
angles: 33.39 33.39 33.39
Fractional positions:
Ce 0.000 0.000 0.000
Ce 0.125 0.125 0.125
Ce 0.501 0.501 0.501
Mg 0.625 0.625 0.625
Co 0.056 0.563 0.563
Co 0.064 0.064 0.568
Co 0.064 0.568 0.064
Co 0.312 0.312 0.312
Co 0.563 0.056 0.563
Co 0.563 0.563 0.056
Co 0.568 0.064 0.064
Co 0.813 0.813 0.813


Density functional theory data (GGA-PBE) for a relaxed structure of Ce3MgCo.

## Properties
- Calculated formation energy: 0.00 eV per atom
- Space-group type: P2_1/m
- E: -52.97 eV per cell
- Calculated volume: 248 Å³ per cell

abc: 3.366 11.000 6.901
angles: 90.00 104.01 90.00
Fractional positions:
Ce 0.021 0.250 0.038
Ce 0.350 0.016 0.696
Ce 0.350 0.484 0.696
Ce 0.650 0.516 0.304
Ce 0.650 0.984 0.304
Ce 0.979 0.750 0.962
Mg 0.245 0.750 0.496
Mg 0.755 0.250 0.504
Co 0.000 0.000 0.000
Co 0.000 0.500 0.000


Density functional theory data (GGA-PBE) for a relaxed structure of CeMg3Co8.

## Properties
- Calculated formation energy: -0.07 eV per atom
- Space-group type: R3m
- E: -68.43 eV per cell
- Calculated volume: 167 Å³ per cell

abc: 8.580 8.580 8.580
angles: 33.05 33.05 33.05
Fractional positions:
Ce 0.000 0.000 0.000
Mg 0.128 0.128 0.128
Mg 0.498 0.498 0.498
Mg 0.617 0.617 0.617
Co 0.062 0.062 0.554
Co 0.062 0.554 0.062
Co 0.067 0.563 0.563
Co 0.311 0.311 0.311
Co 0.554 0.062 0.062
Co 0.563 0.067 0.563
Co 0.563 0.563 0.067
Co 0.812 0.812 0.812